# ErNp2PdS4

ErNp2PdS4 after structural relaxation (PBE-GGA, Alexandria).

Computed properties:
D(E_F) = 10.6 states/eV per cell
Formation energy (no corrections) = -1186 meV/atom
Total magnetic moment = 8.60 μB per formula unit
Final energy = -7.70 eV/atom

Structure (POSCAR):
```
ErNp2PdS4
1.0
6.6109 0.0000 0.0000
3.3055 4.7990 0.0000
3.3055 0.0000 4.7990
Np Pd S Er
2 1 4 1
Direct
0.0000 0.5000 0.5000
0.5000 0.5000 0.5000
0.5000 0.0000 0.0000
0.0741 0.4178 0.0000
0.9259 0.0000 0.5822
0.5081 0.0000 0.4178
0.4919 0.5822 0.0000
0.0000 0.0000 0.0000
```


# ErNpTe3Pd

ErNpTe3Pd after structural relaxation (PBE-GGA, Alexandria).

Computed properties:
D(E_F) = 15.5 states/eV per cell
Formation energy (no corrections) = -915 meV/atom
Total magnetic moment = 3.98 μB per formula unit
Final energy = -6.27 eV/atom

Structure (POSCAR):
```
ErNpTe3Pd
1.0
-1.1704 3.9187 0.9060
-2.1267 1.1847 -7.8709
-8.4931 -3.4140 3.7945
Te Pd Np Er
6 2 2 2
Direct
0.2500 0.0761 0.8659
0.7500 0.2759 0.5161
0.2500 0.5965 0.8528
0.7500 0.9239 0.1341
0.7500 0.4035 0.1472
0.2500 0.7241 0.4839
0.7500 0.9141 0.4076
0.2500 0.0859 0.5924
0.2500 0.1817 0.2813
0.7500 0.8183 0.7187
0.7500 0.3229 0.8195
0.2500 0.6771 0.1805
```


# PmErNp

PmErNp after structural relaxation (PBE-GGA, Alexandria).

Computed properties:
D(E_F) = 12.1 states/eV per cell
Total magnetic moment = 1.30 μB per formula unit
Final energy = -7.18 eV/atom
Formation energy from the elements = 242 meV/atom

Structure (POSCAR):
```
PmErNp
1.0
3.5395 0.0000 0.0000
0.0000 5.9590 -0.1927
-1.7697 -1.5208 8.2725
Er Np Pm
2 2 2
Direct
0.4329 0.2062 0.8657
0.5671 0.7938 0.1343
0.7621 0.1372 0.5242
0.2379 0.8628 0.4758
0.1239 0.3242 0.2478
0.8761 0.6758 0.7522
```